Compound: Ho3PaRh3
Source: the Alexandria database
Functional: PBE
Structure: relaxed

Properties
As for the total DFT energy (no corrections): -7.16 eV per atom.

Lattice parameters (Å, degrees): 11.943 4.081 13.359 90.00 90.00 90.00
Space group Pnma (No. 62)
Symmetry-distinct sites (fractional):
Ho (0.051, 0.250, 0.097) [4 per cell]
Ho (0.188, 0.750, 0.512) [4 per cell]
Ho (0.249, 0.250, 0.299) [4 per cell]
Pa (0.031, 0.250, 0.685) [4 per cell]
Rh (0.047, 0.250, 0.427) [4 per cell]
Rh (0.107, 0.250, 0.874) [4 per cell]
Rh (0.240, 0.750, 0.152) [4 per cell]